Record 1
This record from the Alexandria database describes crystalline Th3Tl3Cd2 at its relaxed geometry. The functional is PBE.

a = 4.733 Å, b = 6.413 Å, c = 16.001 Å
α = 90.00°, β = 90.00°, γ = 111.66°
Fractional coordinates of all 16 atoms:
1 Th 0.931 0.863 0.385
2 Th 0.069 0.137 0.885
3 Th 0.931 0.863 0.115
4 Th 0.069 0.137 0.615
5 Th 0.650 0.299 0.250
6 Th 0.350 0.701 0.750
7 Tl 0.619 0.238 0.462
8 Tl 0.381 0.762 0.962
9 Tl 0.619 0.238 0.038
10 Tl 0.381 0.762 0.538
11 Tl 0.376 0.752 0.250
12 Tl 0.624 0.248 0.750
13 Cd 0.780 0.560 0.892
14 Cd 0.220 0.440 0.392
15 Cd 0.780 0.560 0.608
16 Cd 0.220 0.440 0.108

As for the crystal system: orthorhombic. The calculation puts the polymorph energy (0 for the lowest one) at 0.017 eV per atom.

---

Record 2
This record from the Alexandria database describes crystalline Th12Tl3Cd at its relaxed geometry. The functional is PBE.

a = 4.956 Å, b = 4.956 Å, c = 19.863 Å
α = 90.00°, β = 90.00°, γ = 90.00°
Fractional coordinates of all 16 atoms:
1 Th 0.500 0.500 0.000
2 Th 0.500 0.500 0.249
3 Th 0.500 0.500 0.500
4 Th 0.500 0.500 0.751
5 Th 0.500 0.000 0.124
6 Th 0.500 0.000 0.375
7 Th 0.500 0.000 0.625
8 Th 0.500 0.000 0.876
9 Th 0.000 0.500 0.124
10 Th 0.000 0.500 0.375
11 Th 0.000 0.500 0.625
12 Th 0.000 0.500 0.876
13 Tl 0.000 0.000 0.250
14 Tl 0.000 0.000 0.500
15 Tl 0.000 0.000 0.750
16 Cd 0.000 0.000 0.000

As for the crystal system: tetragonal.

---

Record 3
This record from the Alexandria database describes crystalline Th3Tl4Cd2 at its relaxed geometry. The functional is PBE.

a = 5.088 Å, b = 6.308 Å, c = 9.563 Å
α = 115.04°, β = 90.00°, γ = 113.78°
Fractional coordinates of all 9 atoms:
1 Th 0.661 0.321 0.670
2 Th 0.000 0.000 0.000
3 Th 0.339 0.679 0.330
4 Tl 0.689 0.379 0.029
5 Tl 0.311 0.621 0.971
6 Tl 0.948 0.896 0.622
7 Tl 0.052 0.104 0.378
8 Cd 0.642 0.284 0.307
9 Cd 0.358 0.716 0.693

As for the crystal system: monoclinic.

---

Record 4
This record from the Alexandria database describes crystalline Th3TlCd2 at its relaxed geometry. The functional is PBE.

a = 3.450 Å, b = 3.450 Å, c = 14.188 Å
α = 90.00°, β = 90.00°, γ = 90.00°
Fractional coordinates of all 6 atoms:
1 Th 0.000 0.000 0.000
2 Th 0.000 0.000 0.669
3 Th 0.000 0.000 0.331
4 Tl 0.500 0.500 0.500
5 Cd 0.500 0.500 0.834
6 Cd 0.500 0.500 0.166

As for the crystal system: tetragonal.

---

Record 5
This record from the Alexandria database describes crystalline Th5Tl4Cd at its relaxed geometry. The functional is PBE.

a = 3.528 Å, b = 3.528 Å, c = 23.241 Å
α = 90.00°, β = 90.00°, γ = 90.00°
Fractional coordinates of all 10 atoms:
1 Th 0.500 0.500 0.098
2 Th 0.500 0.500 0.299
3 Th 0.500 0.500 0.500
4 Th 0.500 0.500 0.701
5 Th 0.500 0.500 0.902
6 Tl 0.000 0.000 0.199
7 Tl 0.000 0.000 0.400
8 Tl 0.000 0.000 0.600
9 Tl 0.000 0.000 0.801
10 Cd 0.000 0.000 0.000

As for the crystal system: tetragonal.

---

Record 6
This record from the Alexandria database describes crystalline Th3Tl3Cd2 at its relaxed geometry. The functional is PBE.

a = 4.775 Å, b = 4.820 Å, c = 9.784 Å
α = 90.00°, β = 90.00°, γ = 90.00°
Fractional coordinates of all 8 atoms:
1 Th 0.500 0.500 0.738
2 Th 0.500 0.500 0.262
3 Th 0.500 0.000 0.000
4 Tl 0.500 0.000 0.500
5 Tl 0.000 0.500 0.000
6 Tl 0.000 0.500 0.500
7 Cd 0.000 0.000 0.753
8 Cd 0.000 0.000 0.247

As for the crystal system: orthorhombic. The calculation puts the polymorph energy (0 for the lowest one) at 0.000 eV per atom.

---

Record 7
This record from the Alexandria database describes crystalline Th2TlCd3 at its relaxed geometry. The functional is PBE.

a = 6.197 Å, b = 6.197 Å, c = 10.223 Å
α = 114.39°, β = 114.39°, γ = 68.75°
Fractional coordinates of all 12 atoms:
1 Th 0.750 0.250 0.500
2 Th 0.749 0.251 0.000
3 Th 0.250 0.750 0.500
4 Th 0.251 0.749 0.000
5 Tl 0.667 0.667 0.333
6 Tl 0.333 0.333 0.667
7 Cd 0.836 0.836 0.165
8 Cd 0.671 0.671 0.835
9 Cd 0.164 0.164 0.835
10 Cd 0.329 0.329 0.165
11 Cd 0.164 0.164 0.329
12 Cd 0.836 0.836 0.671

As for the crystal system: orthorhombic.

---

Record 8
This record from the Alexandria database describes crystalline Th3Tl2Cd4 at its relaxed geometry. The functional is PBE.

a = 5.134 Å, b = 6.216 Å, c = 9.560 Å
α = 117.74°, β = 90.00°, γ = 114.39°
Fractional coordinates of all 9 atoms:
1 Th 0.668 0.336 0.667
2 Th 0.000 0.000 0.000
3 Th 0.332 0.664 0.333
4 Tl 0.612 0.223 0.277
5 Tl 0.388 0.777 0.723
6 Cd 0.728 0.456 0.055
7 Cd 0.272 0.544 0.945
8 Cd 0.950 0.899 0.612
9 Cd 0.050 0.101 0.388

As for the crystal system: monoclinic.

---

Record 9
This record from the Alexandria database describes crystalline ThTlCd at its relaxed geometry. The functional is PBE.

a = 5.074 Å, b = 5.074 Å, c = 5.074 Å
α = 60.00°, β = 60.00°, γ = 60.00°
Fractional coordinates of all 3 atoms:
1 Tl 0.250 0.250 0.250
2 Th 0.500 0.500 0.500
3 Cd 0.000 0.000 0.000

As for the crystal system: cubic.

---

Record 10
This record from the Alexandria database describes crystalline Th2TlCd at its relaxed geometry. The functional is PBE.

a = 3.385 Å, b = 3.385 Å, c = 12.590 Å
α = 82.27°, β = 82.27°, γ = 60.00°
Fractional coordinates of all 4 atoms:
1 Tl 0.500 0.500 0.500
2 Th 0.089 0.089 0.732
3 Th 0.911 0.911 0.268
4 Cd 0.000 0.000 0.000

As for the crystal system: trigonal.

---

Record 11
This record from the Alexandria database describes crystalline ThTlCd17 at its relaxed geometry. The functional is PBE.

a = 7.741 Å, b = 7.741 Å, c = 7.741 Å
α = 82.29°, β = 82.29°, γ = 82.29°
Fractional coordinates of all 19 atoms:
1 Th 0.669 0.669 0.669
2 Tl 0.349 0.349 0.349
3 Cd 0.301 0.999 0.698
4 Cd 0.698 0.301 0.999
5 Cd 0.999 0.698 0.301
6 Cd 0.301 0.698 0.999
7 Cd 0.999 0.301 0.698
8 Cd 0.698 0.999 0.301
9 Cd 0.371 0.809 0.371
10 Cd 0.371 0.371 0.809
11 Cd 0.809 0.371 0.371
12 Cd 0.651 0.132 0.651
13 Cd 0.651 0.651 0.132
14 Cd 0.132 0.651 0.651
15 Cd 0.011 0.485 0.011
16 Cd 0.011 0.011 0.485
17 Cd 0.485 0.011 0.011
18 Cd 0.897 0.897 0.897
19 Cd 0.097 0.097 0.097

As for the crystal system: trigonal.

---

Record 12
This record from the Alexandria database describes crystalline Th2TlCd at its relaxed geometry. The functional is PBE.

a = 4.734 Å, b = 4.888 Å, c = 4.888 Å
α = 90.00°, β = 90.00°, γ = 90.00°
Fractional coordinates of all 4 atoms:
1 Tl 0.500 0.500 0.500
2 Th 0.000 0.000 0.500
3 Th 0.000 0.500 0.000
4 Cd 0.500 0.000 0.000

As for the crystal system: tetragonal.

---

Record 13
This record from the Alexandria database describes crystalline ThTlCd at its relaxed geometry. The functional is PBE.

a = 5.046 Å, b = 6.255 Å, c = 6.255 Å
α = 71.81°, β = 66.21°, γ = 66.21°
Fractional coordinates of all 6 atoms:
1 Th 0.327 0.197 0.301
2 Th 0.293 0.732 0.836
3 Tl 0.645 0.142 0.721
4 Tl 0.645 0.616 0.247
5 Cd 0.977 0.759 0.439
6 Cd 0.977 0.335 0.864

As for the crystal system: orthorhombic.

---

Record 14
This record from the Alexandria database describes crystalline Th2TlCd6 at its relaxed geometry. The functional is PBE.

a = 3.345 Å, b = 8.963 Å, c = 8.963 Å
α = 60.00°, β = 89.98°, γ = 89.98°
Fractional coordinates of all 9 atoms:
1 Th 0.000 0.333 0.333
2 Th 0.000 0.667 0.667
3 Tl 0.000 0.000 0.000
4 Cd 0.499 0.668 0.000
5 Cd 0.501 0.000 0.332
6 Cd 0.501 0.332 0.000
7 Cd 0.500 0.668 0.332
8 Cd 0.499 0.000 0.668
9 Cd 0.500 0.332 0.668

As for the crystal system: hexagonal.

---

Record 15
This record from the Alexandria database describes crystalline Y2ThTl2Cd2 at its relaxed geometry. The functional is PBE.

a = 5.062 Å, b = 5.062 Å, c = 9.164 Å
α = 73.96°, β = 73.96°, γ = 60.00°
Fractional coordinates of all 7 atoms:
1 Y 0.133 0.133 0.602
2 Y 0.867 0.867 0.398
3 Th 0.000 0.000 0.000
4 Tl 0.730 0.730 0.810
5 Tl 0.270 0.270 0.190
6 Cd 0.571 0.571 0.286
7 Cd 0.429 0.429 0.714

As for the crystal system: trigonal.

---

Record 16
This record from the Alexandria database describes crystalline ThTlZnCd at its relaxed geometry. The functional is PBE.

a = 5.187 Å, b = 5.187 Å, c = 5.187 Å
α = 60.00°, β = 60.00°, γ = 60.00°
Fractional coordinates of all 4 atoms:
1 Tl 0.000 0.000 0.000
2 Zn 0.500 0.500 0.500
3 Th 0.750 0.750 0.750
4 Cd 0.250 0.250 0.250

As for the crystal system: cubic.

---

Record 17
This record from the Alexandria database describes crystalline ThZrTlCd at its relaxed geometry. The functional is PBE.

a = 5.283 Å, b = 5.283 Å, c = 5.283 Å
α = 60.00°, β = 60.00°, γ = 60.00°
Fractional coordinates of all 4 atoms:
1 Tl 0.250 0.250 0.250
2 Zr 0.000 0.000 0.000
3 Th 0.500 0.500 0.500
4 Cd 0.750 0.750 0.750

As for the crystal system: cubic.

---

Record 18
This record from the Alexandria database describes crystalline Tm2ThCd at its relaxed geometry. The functional is PBE.

a = 5.441 Å, b = 5.441 Å, c = 5.441 Å
α = 60.00°, β = 60.00°, γ = 60.00°
Fractional coordinates of all 4 atoms:
1 Tm 0.250 0.250 0.250
2 Tm 0.750 0.750 0.750
3 Th 0.000 0.000 0.000
4 Cd 0.500 0.500 0.500

As for the crystal system: cubic. The calculation puts the polymorph energy (0 for the lowest one) at 0.279 eV per atom.

---

Record 19
This record from the Alexandria database describes crystalline TmThCd2 at its relaxed geometry. The functional is PBE.

a = 4.375 Å, b = 4.960 Å, c = 4.960 Å
α = 90.00°, β = 90.00°, γ = 90.00°
Fractional coordinates of all 4 atoms:
1 Tm 0.500 0.000 0.000
2 Th 0.500 0.500 0.500
3 Cd 0.000 0.000 0.500
4 Cd 0.000 0.500 0.000

As for the crystal system: tetragonal. The calculation puts the polymorph energy (0 for the lowest one) at 0.061 eV per atom.

---

Record 20
This record from the Alexandria database describes crystalline Tm2ThCd at its relaxed geometry. The functional is PBE.

a = 3.551 Å, b = 3.551 Å, c = 10.793 Å
α = 80.53°, β = 80.53°, γ = 60.00°
Fractional coordinates of all 4 atoms:
1 Tm 0.255 0.255 0.235
2 Tm 0.745 0.745 0.765
3 Th 0.500 0.500 0.500
4 Cd 0.000 0.000 0.000

As for the crystal system: trigonal. The calculation puts the polymorph energy (0 for the lowest one) at 0.075 eV per atom.

---

Record 21
This record from the Alexandria database describes crystalline Tm2ThCd8 at its relaxed geometry. The functional is PBE.

a = 5.348 Å, b = 6.316 Å, c = 8.891 Å
α = 110.55°, β = 107.21°, γ = 90.79°
Fractional coordinates of all 11 atoms:
1 Tm 0.687 0.687 0.374
2 Tm 0.313 0.313 0.626
3 Th 0.500 0.000 0.000
4 Cd 0.125 0.359 0.259
5 Cd 0.866 0.100 0.741
6 Cd 0.748 0.506 0.000
7 Cd 0.705 0.205 0.411
8 Cd 0.295 0.795 0.589
9 Cd 0.252 0.494 0.000
10 Cd 0.134 0.900 0.259
11 Cd 0.875 0.641 0.741

As for the crystal system: monoclinic.

---

Record 22
This record from the Alexandria database describes crystalline Tm2ThCd at its relaxed geometry. The functional is PBE.

a = 3.584 Å, b = 3.584 Å, c = 8.767 Å
α = 90.00°, β = 90.00°, γ = 90.00°
Fractional coordinates of all 4 atoms:
1 Tm 0.000 0.000 0.772
2 Tm 0.000 0.000 0.228
3 Th 0.500 0.500 0.500
4 Cd 0.500 0.500 0.000

As for the crystal system: tetragonal. The calculation puts the polymorph energy (0 for the lowest one) at 0.000 eV per atom.

---

Record 23
This record from the Alexandria database describes crystalline Tm2ThCd at its relaxed geometry. The functional is PBE.

a = 3.538 Å, b = 3.538 Å, c = 10.966 Å
α = 80.72°, β = 80.72°, γ = 60.00°
Fractional coordinates of all 4 atoms:
1 Tm 0.077 0.077 0.770
2 Tm 0.257 0.257 0.230
3 Th 0.500 0.500 0.499
4 Cd 0.666 0.666 0.001

As for the crystal system: trigonal. The calculation puts the polymorph energy (0 for the lowest one) at 0.126 eV per atom.

---

Record 24
This record from the Alexandria database describes crystalline Tm3ThCd2 at its relaxed geometry. The functional is PBE.

a = 3.621 Å, b = 3.621 Å, c = 12.416 Å
α = 90.00°, β = 90.00°, γ = 90.00°
Fractional coordinates of all 6 atoms:
1 Tm 0.000 0.000 0.000
2 Tm 0.000 0.000 0.690
3 Tm 0.000 0.000 0.310
4 Th 0.500 0.500 0.500
5 Cd 0.500 0.500 0.846
6 Cd 0.500 0.500 0.154

As for the crystal system: tetragonal.

---

Record 25
This record from the Alexandria database describes crystalline TmThCd6 at its relaxed geometry. The functional is PBE.

a = 4.935 Å, b = 6.599 Å, c = 6.599 Å
α = 114.40°, β = 90.00°, γ = 90.00°
Fractional coordinates of all 8 atoms:
1 Tm 0.500 0.388 0.612
2 Th 0.000 0.111 0.889
3 Cd 0.000 0.062 0.374
4 Cd 0.000 0.626 0.938
5 Cd 0.000 0.573 0.427
6 Cd 0.500 0.446 0.129
7 Cd 0.500 0.871 0.554
8 Cd 0.500 0.921 0.079

As for the crystal system: orthorhombic.

---

What are the VASP energy values for these records? In order: -63.9; -97.8; -34.4; -27.1; -48.8; -32.1; -41.7; -31.9; -10.3; -17.3; -25.8; -18.6; -22.1; -23.7; -27.5; -12.1; -19.2; -16.8; -14.2; -17.6; -25.6; -17.9; -17.4; -23.9; -18.8 eV for the cell shown.